No. 1
# Cd2CuW PBE relaxed
data_Cd2CuW
_chemical_formula_sum 'Cd4 Cu2 W2'
_space_group_name_H-M_alt 'C 1 2/m 1'
_space_group_IT_number 12
_space_group_name_Hall '-C 2y'
_cell_length_a 5.824
_cell_length_b 8.798
_cell_length_c 2.720
_cell_angle_alpha 90.00
_cell_angle_beta 91.73
_cell_angle_gamma 90.00
loop_
_atom_site_label
_atom_site_fract_x
_atom_site_fract_y
_atom_site_fract_z
Cd1 0.250 0.250 0.000
Cu1 0.000 0.000 0.500
W1 0.000 0.500 0.500
# Energy above the lowest structure with this stoichiometry   3.74 kcal/mol of atoms
# E_tot   -0.3101 Ry/atom

No. 2
# Cd2CuW PBE relaxed
data_Cd2CuW
_chemical_formula_sum 'Cd4 Cu2 W2'
_space_group_name_H-M_alt 'C 1 m 1'
_space_group_IT_number 8
_space_group_name_Hall 'C -2y'
_cell_length_a 11.021
_cell_length_b 2.726
_cell_length_c 5.279
_cell_angle_alpha 90.00
_cell_angle_beta 117.86
_cell_angle_gamma 90.00
loop_
_atom_site_label
_atom_site_fract_x
_atom_site_fract_y
_atom_site_fract_z
Cd1 0.000 0.000 0.000
Cd2 0.231 0.000 0.580
Cu1 0.477 0.000 0.491
W1 0.256 0.500 0.094
# Energy above the lowest structure with this stoichiometry   3.52 kcal/mol of atoms
# E_tot   -0.3108 Ry/atom

No. 3
# Cd3CuW PBE relaxed
data_Cd3CuW
_chemical_formula_sum 'Cd3 Cu1 W1'
_space_group_name_H-M_alt 'P m -3 m'
_space_group_IT_number 221
_space_group_name_Hall '-P 4 2 3'
_cell_length_a 4.844
_cell_length_b 4.844
_cell_length_c 4.844
_cell_angle_alpha 90.00
_cell_angle_beta 90.00
_cell_angle_gamma 90.00
loop_
_atom_site_label
_atom_site_fract_x
_atom_site_fract_y
_atom_site_fract_z
Cd1 0.000 0.000 0.500
Cu1 0.000 0.000 0.000
W1 0.500 0.500 0.500
# Energy above the lowest structure with this stoichiometry   0.00 kcal/mol of atoms
# E_tot   -0.2002 Ry/atom

No. 4
# CdCuW2 PBE relaxed
data_CdCuW2
_chemical_formula_sum 'Cd2 Cu2 W4'
_space_group_name_H-M_alt 'I -4 m 2'
_space_group_IT_number 119
_space_group_name_Hall 'I -4 -2'
_cell_length_a 4.040
_cell_length_b 4.040
_cell_length_c 7.860
_cell_angle_alpha 90.00
_cell_angle_beta 90.00
_cell_angle_gamma 90.00
loop_
_atom_site_label
_atom_site_fract_x
_atom_site_fract_y
_atom_site_fract_z
Cd1 0.000 0.000 0.000
Cu1 0.000 0.500 0.750
W1 0.000 0.000 0.500
W2 0.000 0.500 0.250
# E_tot   -0.5217 Ry/atom

Theoretical density for every record listed, in sequence, given in kg/m3: 11256, 11186, 8539, 14071.